No. 1
Crystalline Pm5Mg at its relaxed geometry. Source: the Alexandria database, functional PBE-GGA.

Cell and atoms, written as CIF:
```
data_Pm5Mg
_chemical_formula_sum 'Pm5 Mg1'
_cell_length_a 3.6679
_cell_length_b 3.6679
_cell_length_c 14.5705
_cell_angle_alpha 90.00
_cell_angle_beta 90.00
_cell_angle_gamma 90.00
_symmetry_space_group_name_H-M 'P 4/m m m'
_symmetry_Int_Tables_number 123
_symmetry_space_group_name_Hall '-P 4 2'
loop_
_atom_site_label
_atom_site_type_symbol
_atom_site_fract_x
_atom_site_fract_y
_atom_site_fract_z
_atom_site_occupancy
Pm1 Pm 0.0000 0.0000 0.0000 1
Pm2 Pm 0.0000 0.0000 0.3504 1
Pm3 Pm 0.5000 0.5000 0.1772 1
Mg1 Mg 0.5000 0.5000 0.5000 1
```

Summary:
ΔH_f (0 K): -0.1 eV per formula unit
electronic total energy: -4.25 eV per atom
energy above the most stable polymorph in this dataset: 0.0 meV per atom
mass density: 6348 kg/m³

=====

No. 2
Crystalline Pm5Mg at its relaxed geometry. Source: the Alexandria database, functional PBE-GGA.

Cell and atoms, written as CIF:
```
data_Pm5Mg
_chemical_formula_sum 'Pm10 Mg2'
_cell_length_a 5.0332
_cell_length_b 15.4045
_cell_length_c 5.0562
_cell_angle_alpha 90.00
_cell_angle_beta 90.00
_cell_angle_gamma 90.00
_symmetry_space_group_name_H-M 'C m m m'
_symmetry_Int_Tables_number 65
_symmetry_space_group_name_Hall '-C 2 2'
loop_
_atom_site_label
_atom_site_type_symbol
_atom_site_fract_x
_atom_site_fract_y
_atom_site_fract_z
_atom_site_occupancy
Pm1 Pm 0.0000 0.0000 0.0000 1
Pm2 Pm 0.0000 0.1649 0.5000 1
Pm3 Pm 0.0000 0.3322 0.0000 1
Mg1 Mg 0.0000 0.5000 0.5000 1
```

Summary:
ΔH_f (0 K): 0.0 eV per formula unit
electronic total energy: -4.22 eV per atom
energy above the most stable polymorph in this dataset: 30.5 meV per atom
mass density: 6348 kg/m³

=====

No. 3
Crystalline PmMg at its relaxed geometry. Source: the Alexandria database, functional PBE-GGA.

Cell and atoms, written as CIF:
```
data_PmMg
_chemical_formula_sum 'Pm1 Mg1'
_cell_length_a 3.8670
_cell_length_b 3.8670
_cell_length_c 3.8670
_cell_angle_alpha 90.00
_cell_angle_beta 90.00
_cell_angle_gamma 90.00
_symmetry_space_group_name_H-M 'P m -3 m'
_symmetry_Int_Tables_number 221
_symmetry_space_group_name_Hall '-P 4 2 3'
loop_
_atom_site_label
_atom_site_type_symbol
_atom_site_fract_x
_atom_site_fract_y
_atom_site_fract_z
_atom_site_occupancy
Pm1 Pm 0.0000 0.0000 0.0000 1
Mg1 Mg 0.5000 0.5000 0.5000 1
```

Summary:
ΔH_f (0 K): -0.2 eV per formula unit
electronic total energy: -3.28 eV per atom
mass density: 4862 kg/m³

=====

No. 4
Crystalline Pm3Mg at its relaxed geometry. Source: the Alexandria database, functional PBE-GGA.

Cell and atoms, written as CIF:
```
data_Pm3Mg
_chemical_formula_sum 'Pm6 Mg2'
_cell_length_a 3.7145
_cell_length_b 11.5255
_cell_length_c 5.9387
_cell_angle_alpha 90.00
_cell_angle_beta 90.00
_cell_angle_gamma 90.00
_symmetry_space_group_name_H-M 'I m m 2'
_symmetry_Int_Tables_number 44
loop_
_symmetry_equiv_pos_as_xyz
'x,y,z'
'-x,-y,z'
'-x,y,z'
'x,-y,z'
'x+1/2,y+1/2,z+1/2'
'-x+1/2,-y+1/2,z+1/2'
'-x+1/2,y+1/2,z+1/2'
'x+1/2,-y+1/2,z+1/2'
loop_
_atom_site_label
_atom_site_type_symbol
_atom_site_fract_x
_atom_site_fract_y
_atom_site_fract_z
_atom_site_occupancy
Pm1 Pm 0.0000 0.0000 0.0000 1
Pm2 Pm 0.0000 0.2330 0.3833 1
Mg1 Mg 0.0000 0.5000 0.0131 1
```

Summary:
ΔH_f (0 K): -0.1 eV per formula unit
electronic total energy: -3.98 eV per atom
energy above the most stable polymorph in this dataset: 0.0 meV per atom
mass density: 6000 kg/m³

=====

No. 5
Crystalline PmMg2 at its relaxed geometry. Source: the Alexandria database, functional PBE-GGA.

Cell and atoms, written as CIF:
```
data_PmMg2
_chemical_formula_sum 'Pm2 Mg4'
_cell_length_a 3.4695
_cell_length_b 3.4695
_cell_length_c 13.4320
_cell_angle_alpha 90.00
_cell_angle_beta 90.00
_cell_angle_gamma 90.00
_symmetry_space_group_name_H-M 'I 4/m m m'
_symmetry_Int_Tables_number 139
_symmetry_space_group_name_Hall '-I 4 2'
loop_
_atom_site_label
_atom_site_type_symbol
_atom_site_fract_x
_atom_site_fract_y
_atom_site_fract_z
_atom_site_occupancy
Pm1 Pm 0.0000 0.0000 0.0000 1
Mg1 Mg 0.0000 0.0000 0.3227 1
```

Summary:
ΔH_f (0 K): -0.2 eV per formula unit
electronic total energy: -2.70 eV per atom
energy above the most stable polymorph in this dataset: 49.0 meV per atom
mass density: 3977 kg/m³

=====

No. 6
Crystalline Pm8Mg at its relaxed geometry. Source: the Alexandria database, functional PBE-GGA.

Cell and atoms, written as CIF:
```
data_Pm8Mg
_chemical_formula_sum 'Pm16 Mg2'
_cell_length_a 10.8076
_cell_length_b 10.8076
_cell_length_c 5.1243
_cell_angle_alpha 90.00
_cell_angle_beta 90.00
_cell_angle_gamma 90.00
_symmetry_space_group_name_H-M 'I 4/m m m'
_symmetry_Int_Tables_number 139
_symmetry_space_group_name_Hall '-I 4 2'
loop_
_atom_site_label
_atom_site_type_symbol
_atom_site_fract_x
_atom_site_fract_y
_atom_site_fract_z
_atom_site_occupancy
Pm1 Pm 0.0000 0.3324 0.0000 1
Pm2 Pm 0.1656 0.1656 0.5000 1
Mg1 Mg 0.0000 0.0000 0.0000 1
```

Summary:
ΔH_f (0 K): 0.2 eV per formula unit
electronic total energy: -4.38 eV per atom
energy above the most stable polymorph in this dataset: 0.0 meV per atom
mass density: 6571 kg/m³